Compound: V6FeIr
Source: Alexandria via LeMat-Bulk
Functional: PBE-GGA
Structure: relaxed

Summary:
Formation energy = -276 meV/atom
Magnetic moment = 0.0 μB per cell
Energy above the most stable polymorph in this dataset = 56 meV/atom
V = 104 Å³/f.u.

Unit cell a=4.185 b=5.946 c=8.362 alpha=90.00 beta=90.00 gamma=90.00
Space group Amm2 (No. 38)
Asymmetric unit:
V 0.000 0.000 0.000
V 0.000 0.241 0.750
V 0.500 0.000 0.750
V 0.500 0.250 0.000
Fe 0.000 0.000 0.501
Ir 0.500 0.000 0.251